KCoAsO: optimized geometry, GGA+U.

Cell: 3.178 6.829 7.566 Å, 90.00 90.00 90.00°
Sites, in units of the cell vectors:
K 0.000 0.146 0.000
K 0.000 0.854 0.500
Co 0.500 0.323 0.378
Co 0.500 0.677 0.878
As 0.500 0.405 0.681
As 0.500 0.595 0.181
O 0.000 0.188 0.341
O 0.000 0.812 0.841

Computed properties:
For the excess energy over the best structure of this formula in the dataset, the calculation gives 0 meV per atom. Its density is 3822 kg/m3.